[1]
ZrBeB3: relaxed, PBE.

It has space group Cmcm (No. 63), with a = 3.3920 Å, b = 17.7014 Å, c = 3.1352 Å, α = 90.00°, β = 90.00° and γ = 90.00°. The inequivalent atoms are Zr at (0.0000, 0.0795, 0.2500), Be at (0.0000, 0.2070, 0.7500), B at (0.0000, 0.3174, 0.7500), B at (0.0000, 0.3661, 0.2500) and B at (0.0000, 0.4744, 0.2500).

The formation energy from the elements comes out at -11.14 kcal/mol of atoms. For the electronic total energy, the calculation gives -6.9445 eV per atom. The energy above the lowest structure with this stoichiometry comes out at 0.000 eV per atom.

***

[2]
ZrBeB4: relaxed, PBE.

It has space group Pbam (No. 55), with a = 5.7379 Å, b = 11.1229 Å, c = 3.2760 Å, α = 90.00°, β = 90.00° and γ = 90.00°. The inequivalent atoms are Zr at (0.1279, 0.1513, 0.0000), Be at (0.1329, 0.4144, 0.0000), B at (0.0263, 0.6928, 0.5000), B at (0.1138, 0.5467, 0.5000), B at (0.1345, 0.9680, 0.5000) and B at (0.2141, 0.8140, 0.5000).

The formation energy from the elements comes out at -11.17 kcal/mol of atoms. For the electronic total energy, the calculation gives -6.9817 eV per atom.

***

[3]
ZrBeB3: relaxed, PBE.

It has space group Pm-3m (No. 221), with a = 3.6810 Å, b = 3.6810 Å, c = 3.6810 Å, α = 90.00°, β = 90.00° and γ = 90.00°. The inequivalent atoms are Zr at (0.0000, 0.0000, 0.0000), Be at (0.5000, 0.5000, 0.5000) and B at (0.0000, 0.5000, 0.5000).

The formation energy from the elements comes out at 15.40 kcal/mol of atoms. For the electronic total energy, the calculation gives -5.7934 eV per atom. The energy above the lowest structure with this stoichiometry comes out at 1.151 eV per atom.

***

[4]
Zr2BeB3: relaxed, PBE.

It has space group Pmm2 (No. 25), with a = 3.2848 Å, b = 3.5123 Å, c = 5.7262 Å, α = 90.00°, β = 90.00° and γ = 90.00°. The inequivalent atoms are Zr at (0.0000, 0.0000, 0.0000), Zr at (0.5000, 0.0000, 0.4909), Be at (0.0000, 0.5000, 0.6643), B at (0.0000, 0.5000, 0.3198), B at (0.5000, 0.5000, 0.1591) and B at (0.5000, 0.5000, 0.8424).

The formation energy from the elements comes out at -18.56 kcal/mol of atoms. For the electronic total energy, the calculation gives -7.6141 eV per atom.

***

[5]
Zr2Be3B: relaxed, PBE.

It has space group Fmmm (No. 69), with a = 6.7087 Å, b = 7.2366 Å, c = 12.4876 Å, α = 90.00°, β = 90.00° and γ = 90.00°. The inequivalent atoms are Zr at (0.2457, 0.0000, 0.0000), Zr at (0.2500, 0.2500, 0.2500), Be at (0.0000, 0.0000, 0.3263), Be at (0.0000, 0.2416, 0.0868) and B at (0.0000, 0.0000, 0.1667).

The formation energy from the elements comes out at -7.75 kcal/mol of atoms. For the electronic total energy, the calculation gives -6.1615 eV per atom.

***

[6]
ZrBeB2: relaxed, PBE.

It has space group I4_1/amd (No. 141, origin choice 2), with a = 3.6822 Å, b = 3.6822 Å, c = 12.6838 Å, α = 90.00°, β = 90.00° and γ = 90.00°. The inequivalent atoms are Zr at (0.0000, 0.2500, 0.3750), Be at (0.0000, 0.2500, 0.8750) and B at (0.0000, 0.0000, 0.0000).

The formation energy from the elements comes out at -4.06 kcal/mol of atoms. For the electronic total energy, the calculation gives -6.5832 eV per atom.

***

[7]
ZrBeB3: relaxed, PBE.

It has space group Pm-3m (No. 221), with a = 4.3644 Å, b = 4.3644 Å, c = 4.3644 Å, α = 90.00°, β = 90.00° and γ = 90.00°. The inequivalent atoms are Zr at (0.0000, 0.0000, 0.0000), Be at (0.5000, 0.5000, 0.5000) and B at (0.0000, 0.0000, 0.5000).

The formation energy from the elements comes out at 49.90 kcal/mol of atoms. For the electronic total energy, the calculation gives -4.2973 eV per atom. The energy above the lowest structure with this stoichiometry comes out at 2.647 eV per atom.

***

[8]
ZrBeB: relaxed, PBE.

It has space group P2_1/c (No. 14), with a = 4.7827 Å, b = 5.0483 Å, c = 6.4215 Å, α = 90.00°, β = 113.03° and γ = 90.00°. The inequivalent atoms are Zr at (0.2051, 0.1361, 0.3812), Be at (0.2720, 0.6146, 0.5388) and B at (0.3519, 0.6118, 0.2652).

The formation energy from the elements comes out at -8.47 kcal/mol of atoms. For the electronic total energy, the calculation gives -6.6845 eV per atom. The energy above the lowest structure with this stoichiometry comes out at 0.220 eV per atom.